# 1
Computed, not measured: a relaxed NaTl2Zn2 crystal at the PBE level of DFT.

Geometry as POSCAR:
```
NaTl2Zn2
1.0
-2.093 2.093 7.105
2.093 -2.093 7.105
2.093 2.093 -7.105
Na Tl Zn
1 2 2
Cartesian
0.000 0.000 0.000 Na
0.000 0.000 5.538 Tl
0.000 0.000 8.673 Tl
2.093 0.000 3.553 Zn
0.000 2.093 3.553 Zn
```

Properties
Calculated formation energy = 8 kJ/mol of atoms
Electronic total energy = -8.2 eV for the cell shown
Distance to the lowest polymorph of the same formula = 0.167 eV per formula unit

# 2
Computed, not measured: a relaxed Na2Tl2Zn crystal at the PBE level of DFT.

Geometry as POSCAR:
```
Na2Tl2Zn
1.0
7.822 0.000 0.000
0.000 7.822 0.000
0.000 0.000 4.587
Na Tl Zn
4 4 2
Cartesian
1.120 2.791 0.000 Na
2.791 6.702 0.000 Na
5.031 1.120 0.000 Na
6.702 5.031 0.000 Na
1.281 5.192 2.293 Tl
2.630 1.281 2.293 Tl
5.192 6.541 2.293 Tl
6.541 2.630 2.293 Tl
0.000 0.000 0.000 Zn
3.911 3.911 0.000 Zn
```

Properties
Calculated formation energy = 10 kJ/mol of atoms
Electronic total energy = -16.3 eV for the cell shown
Distance to the lowest polymorph of the same formula = 0.589 eV per formula unit

# 3
Computed, not measured: a relaxed NaTl3Zn3 crystal at the PBE level of DFT.

Geometry as POSCAR:
```
NaTl3Zn3
1.0
7.766 0.000 0.000
0.000 7.766 0.000
0.000 0.000 7.766
Na Tl Zn
2 6 6
Cartesian
0.000 0.000 0.000 Na
3.883 3.883 3.883 Na
0.000 1.942 3.883 Tl
0.000 5.825 3.883 Tl
1.942 3.883 0.000 Tl
3.883 0.000 1.942 Tl
3.883 0.000 5.825 Tl
5.825 3.883 0.000 Tl
0.000 3.883 1.942 Zn
0.000 3.883 5.825 Zn
1.942 0.000 3.883 Zn
3.883 1.942 0.000 Zn
3.883 5.825 0.000 Zn
5.825 0.000 3.883 Zn
```

Properties
Calculated formation energy = 29 kJ/mol of atoms
Electronic total energy = -20.2 eV for the cell shown

# 4
Computed, not measured: a relaxed Na2TlZn crystal at the PBE level of DFT.

Geometry as POSCAR:
```
Na2TlZn
1.0
1.729 0.998 10.358
-1.729 0.998 10.358
0.000 -1.997 10.358
Na Tl Zn
2 1 1
Cartesian
0.000 0.000 0.000 Na
0.000 0.000 5.538 Na
0.000 0.000 13.125 Tl
0.000 0.000 18.306 Zn
```

Properties
Calculated formation energy = 5 kJ/mol of atoms
Electronic total energy = -6.1 eV for the cell shown

# 5
Computed, not measured: a relaxed Na2Tl2Zn crystal at the PBE level of DFT.

Geometry as POSCAR:
```
Na2Tl2Zn
1.0
-3.316 7.194 2.824
3.316 -7.194 2.824
3.316 7.194 -2.824
Na Tl Zn
4 4 2
Cartesian
0.977 1.436 0.000 Na
0.977 -1.436 2.824 Na
2.339 8.630 0.000 Na
2.339 5.758 2.824 Na
4.336 2.556 0.000 Tl
1.020 4.638 0.000 Tl
2.296 2.556 2.824 Tl
-1.020 4.638 2.824 Tl
3.316 0.000 1.412 Zn
0.000 7.194 1.412 Zn
```

Properties
Calculated formation energy = -2 kJ/mol of atoms
Electronic total energy = -17.5 eV for the cell shown
Distance to the lowest polymorph of the same formula = 0.000 eV per formula unit

# 6
Computed, not measured: a relaxed Na2TlZn crystal at the PBE level of DFT.

Geometry as POSCAR:
```
Na2TlZn
1.0
1.710 0.987 11.481
-1.710 0.987 11.481
0.000 -1.974 11.481
Na Tl Zn
2 1 1
Cartesian
0.000 0.000 2.991 Na
0.000 0.000 31.452 Na
0.000 0.000 17.222 Tl
0.000 0.000 0.000 Zn
```

Properties
Calculated formation energy = 14 kJ/mol of atoms
Electronic total energy = -5.7 eV for the cell shown